{
  "formula": "ScAsRuBr2",
  "functional": "SCAN",
  "state": "PBEsol geometry",
  "m_tot_mub_per_fu": 3.6,
  "dft_energy_ev_per_atom": -21.430,
  "e_form_raw_mev_per_atom": 204,
  "dos_ef_per_ev_cell": 2.79,
  "lattice": [[4.990, 0.000, 0.000], [0.000, 4.990, 0.000], [0.000, 0.000, 5.337]],
  "species": ["Sc", "As", "Ru", "Br", "Br"],
  "fractional_positions": [[0.000, 0.000, 0.000], [0.000, 0.000, 0.500], [0.500, 0.500, 0.500], [0.000, 0.500, 0.000], [0.500, 0.000, 0.000]]
}

=====

{
  "formula": "ErAlGa",
  "functional": "SCAN",
  "state": "PBEsol geometry",
  "m_tot_mub_per_fu": 0.0,
  "dft_energy_ev_per_atom": -25.451,
  "dos_ef_per_ev_cell": 0.84,
  "lattice": [[4.398, 0.000, 0.000], [-2.199, 3.809, 0.000], [0.000, 0.000, 3.443]],
  "species": ["Er", "Al", "Ga"],
  "fractional_positions": [[0.000, 0.000, 0.000], [0.667, 0.333, 0.500], [0.333, 0.667, 0.500]]
}

=====

Number 2 is which compound? ErAlGa

=====

Repeat the second record exactly.
{
  "formula": "ErAlGa",
  "functional": "SCAN",
  "state": "PBEsol geometry",
  "m_tot_mub_per_fu": 0.0,
  "dft_energy_ev_per_atom": -25.451,
  "dos_ef_per_ev_cell": 0.84,
  "lattice": [[4.398, 0.000, 0.000], [-2.199, 3.809, 0.000], [0.000, 0.000, 3.443]],
  "species": ["Er", "Al", "Ga"],
  "fractional_positions": [[0.000, 0.000, 0.000], [0.667, 0.333, 0.500], [0.333, 0.667, 0.500]]
}